A plane-wave DFT calculation with GGA-PBE was carried out for a relaxed CaAc2O4 crystal.

As for the crystal system: tetragonal. The formation energy (no corrections) is -68.63 kcal/mol of atoms. Its total moment is 0.0 Bohr magnetons per cell.

The space group is I4/mmm (No. 139) and the conventional cell measures 4.336, 4.336 and 12.926 Å, with angles of 90.00, 90.00 and 90.00 degrees. The inequivalent atoms are Ca at (0.000, 0.000, 0.000), Ac at (0.000, 0.000, 0.364), O at (0.000, 0.000, 0.186) and O at (0.000, 0.500, 0.000).